1.
Compound: InRh2Se
Source: Alexandria via LeMat-Bulk
Functional: PBEsol
Structure: optimized geometry

a b c (Å): 4.5312 4.5312 3.0794
angles (deg): 90.00 90.00 90.00
With the nearest neighbours (Å) after each atom.
Fractional positions:
In (0.0000, 0.0000, 0.0000)  8 Rh 2.74
Rh (0.0000, 0.5000, 0.5000)  4 Se 2.74, 4 In 2.74
Rh (0.5000, 0.0000, 0.5000)  4 Se 2.74, 4 In 2.74
Se (0.5000, 0.5000, 0.0000)  8 Rh 2.74

Summary:
* SG: P4/mmm (123)
* DOS at the Fermi energy: 3.65 states/eV per cell
* V: 63.22 Å³ per cell
* ΔE_f (raw): -0.1303 eV/atom
* E: -5.91 eV/atom

2.
Compound: CsBaBeIn2
Source: Alexandria via LeMat-Bulk
Functional: PBEsol
Structure: optimized geometry

a b c (Å): 6.0462 6.0462 6.5196
angles (deg): 90.00 90.00 90.00
With the nearest neighbours (Å) after each atom.
Fractional positions:
Cs (0.0000, 0.0000, 0.0000)  4 In 3.02, 2 Ba 3.26
Ba (0.0000, 0.0000, 0.5000)  2 Cs 3.26
Be (0.5000, 0.5000, 0.5000)  4 Ba 4.28, 8 In 4.45
In (0.0000, 0.5000, 0.0000)  2 Cs 3.02
In (0.5000, 0.0000, 0.0000)  2 Cs 3.02

Summary:
* SG: P4/mmm (123)
* energy relative to the elements: 1415 meV/atom
* DOS at the Fermi energy: 5.64 states/eV per cell
* V: 238.34 Å³ per cell
* E: -1.20 eV/atom

3.
Compound: CaSnO2F
Source: Alexandria via LeMat-Bulk
Functional: PBEsol
Structure: optimized geometry

a b c (Å): 4.3321 4.3321 4.1930
angles (deg): 90.00 90.00 90.00
With the nearest neighbours (Å) after each atom.
Fractional positions:
Ca (0.0000, 0.0000, 0.0000)  2 F 2.10, 4 O 2.17
Sn (0.5000, 0.5000, 0.5000)  8 O 3.01, 4 F 3.06
O (0.0000, 0.5000, 0.0000)  2 Ca 2.17
O (0.5000, 0.0000, 0.0000)  2 Ca 2.17
F (0.0000, 0.0000, 0.5000)  2 Ca 2.10

Summary:
* SG: P4/mmm (123)
* DOS at the Fermi energy: 2.92 states/eV per cell
* V: 78.69 Å³ per cell
* ΔE_f (raw): -1.5427 eV/atom
* E: -5.31 eV/atom

4.
Compound: TaMn2Cl
Source: Alexandria via LeMat-Bulk
Functional: PBEsol
Structure: optimized geometry

a b c (Å): 2.9369 3.0269 7.0855
angles (deg): 90.00 90.00 90.00
With the nearest neighbours (Å) after each atom.
Fractional positions:
Ta (0.0000, 0.0000, 0.0000)  4 Mn 2.52, 2 Cl 2.56
Mn (0.0000, 0.0000, 0.4020)  4 Mn 2.57, 2 Cl 2.60, 1 Ta 2.85
Mn (0.5000, 0.5000, 0.1952)  4 Ta 2.52, 4 Mn 2.57
Cl (0.5000, 0.0000, 0.7041)  2 Ta 2.56, 2 Mn 2.60

Summary:
* SG: Pmm2 (25)
* offset from the most stable computed form: 0 meV/atom
* DOS at the Fermi energy: 3.55 states/eV per cell
* V: 62.99 Å³ per cell
* ΔE_f (raw): 0.0904 eV/atom
* E: -8.43 eV/atom

5.
Compound: BeAlFe2
Source: Alexandria via LeMat-Bulk
Functional: PBEsol
Structure: optimized geometry

a b c (Å): 4.3712 4.3712 4.3712
angles (deg): 138.02 128.84 68.25
With the nearest neighbours (Å) after each atom.
Fractional positions:
Be (0.0000, 0.0000, 0.0000)  4 Fe 2.34, 4 Al 2.45
Al (0.5000, 0.5000, 0.0000)  8 Fe 2.45-2.56, 4 Be 2.45
Fe (0.2395, 0.7395, 0.5000)  2 Be 2.34, 4 Al 2.45-2.56, 4 Fe 2.46
Fe (0.7605, 0.2605, 0.5000)  2 Be 2.34, 4 Al 2.45-2.56, 4 Fe 2.46

Summary:
* SG: Immm (71)
* energy relative to the elements: -173 meV/atom
* DOS at the Fermi energy: 2.78 states/eV per cell
* V: 42.77 Å³ per cell
* E: -6.68 eV/atom

6.
Compound: Sb3OsC
Source: Alexandria via LeMat-Bulk
Functional: PBEsol
Structure: optimized geometry

a b c (Å): 4.4963 4.4963 4.4963
angles (deg): 90.00 90.00 90.00
With the nearest neighbours (Å) after each atom.
Fractional positions:
Sb (0.0000, 0.0000, 0.5000)  2 C 2.25
Sb (0.0000, 0.5000, 0.0000)  2 C 2.25
Sb (0.5000, 0.0000, 0.0000)  2 C 2.25
Os (0.5000, 0.5000, 0.5000)  12 Sb 3.18
C (0.0000, 0.0000, 0.0000)  6 Sb 2.25

Summary:
* SG: Pm-3m (221)
* DOS at the Fermi energy: 3.58 states/eV per cell
* V: 90.90 Å³ per cell
* ΔE_f (raw): 1.3416 eV/atom
* E: -5.76 eV/atom

7.
Compound: LiFeSeI2
Source: Alexandria via LeMat-Bulk
Functional: PBEsol
Structure: optimized geometry

a b c (Å): 5.5577 5.5577 4.5633
angles (deg): 90.00 90.00 90.00
With the nearest neighbours (Å) after each atom.
Fractional positions:
Li (0.0000, 0.0000, 0.0000)  8 I 3.60, 4 Se 3.93
Fe (0.5000, 0.5000, 0.5000)  2 Se 2.28
Se (0.5000, 0.5000, 0.0000)  2 Fe 2.28
I (0.0000, 0.5000, 0.5000)  2 Fe 2.78
I (0.5000, 0.0000, 0.5000)  2 Fe 2.78

Summary:
* SG: P4/mmm (123)
* DOS at the Fermi energy: 5.67 states/eV per cell
* V: 140.95 Å³ per cell
* ΔE_f (raw): -0.1563 eV/atom
* E: -3.82 eV/atom

8.
Compound: Y4ZrCo
Source: Alexandria via LeMat-Bulk
Functional: PBEsol
Structure: optimized geometry

a b c (Å): 6.0449 6.0449 6.0449
angles (deg): 60.00 60.00 60.00
With the nearest neighbours (Å) after each atom.
Fractional positions:
Y (0.1248, 0.1248, 0.1248)  6 Y 3.02-3.03
Y (0.1248, 0.1248, 0.6257)  6 Y 3.02-3.03
Y (0.1248, 0.6257, 0.1248)  6 Y 3.02-3.03
Y (0.6257, 0.1248, 0.1248)  6 Y 3.02-3.03
Zr (0.7500, 0.7500, 0.7500)  12 Y 3.54, 4 Co 3.70
Co (0.5000, 0.5000, 0.5000)  12 Y 3.54, 4 Zr 3.70

Summary:
* SG: F-43m (216)
* energy relative to the elements: 870 meV/atom
* DOS at the Fermi energy: 11.03 states/eV per cell
* V: 156.19 Å³ per cell
* E: -6.48 eV/atom

9.
Compound: ZrCu2Ir
Source: Alexandria via LeMat-Bulk
Functional: PBEsol
Structure: optimized geometry

a b c (Å): 4.7487 4.7487 4.7487
angles (deg): 132.14 132.14 70.00
With the nearest neighbours (Å) after each atom.
Fractional positions:
Zr (0.0000, 0.0000, 0.0000)  8 Cu 2.72-2.74, 4 Ir 2.74
Cu (0.2500, 0.7500, 0.5000)  4 Ir 2.72, 4 Zr 2.74, 4 Cu 2.74
Cu (0.5000, 0.5000, 0.0000)  4 Zr 2.72, 4 Ir 2.74, 4 Cu 2.74
Ir (0.7500, 0.2500, 0.5000)  8 Cu 2.72-2.74, 4 Zr 2.74

Summary:
* SG: I-4m2 (119)
* offset from the most stable computed form: 69 meV/atom
* energy relative to the elements: -335 meV/atom
* DOS at the Fermi energy: 1.94 states/eV per cell
* V: 57.72 Å³ per cell
* E: -7.23 eV/atom

10.
Compound: SbAsBr2
Source: Alexandria via LeMat-Bulk
Functional: PBEsol
Structure: optimized geometry

a b c (Å): 3.2537 3.2537 8.8411
angles (deg): 90.00 90.00 90.00
With the nearest neighbours (Å) after each atom.
Fractional positions:
Sb (0.0000, 0.0000, 0.0000)  4 Sb 3.25, 8 Br 3.46
As (0.0000, 0.0000, 0.5000)  8 Br 2.95, 4 As 3.25
Br (0.5000, 0.5000, 0.2915)  4 As 2.95, 4 Br 3.25
Br (0.5000, 0.5000, 0.7085)  4 As 2.95, 4 Br 3.25

Summary:
* SG: P4/mmm (123)
* offset from the most stable computed form: 203 meV/atom
* DOS at the Fermi energy: 3.32 states/eV per cell
* V: 93.60 Å³ per cell
* ΔE_f (raw): 0.3448 eV/atom
* E: -3.01 eV/atom

11.
Compound: MgIrRh2
Source: Alexandria via LeMat-Bulk
Functional: PBEsol
Structure: optimized geometry

a b c (Å): 2.7054 2.7054 8.9459
angles (deg): 90.00 90.00 118.24
With the nearest neighbours (Å) after each atom.
Fractional positions:
Mg (0.0000, 0.0000, 0.0000)  2 Rh 2.60, 2 Ir 2.65, 6 Mg 2.71-2.78
Ir (0.5000, 0.5000, 0.2525)  2 Rh 2.65, 2 Mg 2.65, 6 Ir 2.71-2.78
Rh (0.0000, 0.0000, 0.5043)  8 Rh 2.63-2.78, 2 Ir 2.65
Rh (0.5000, 0.5000, 0.7537)  2 Mg 2.60, 8 Rh 2.63-2.78

Summary:
* SG: Cmm2 (35)
* energy relative to the elements: 120 meV/atom
* DOS at the Fermi energy: 5.11 states/eV per cell
* V: 57.68 Å³ per cell
* E: -6.83 eV/atom

12.
Compound: LaZr2AsF
Source: Alexandria via LeMat-Bulk
Functional: PBEsol
Structure: optimized geometry

a b c (Å): 5.1722 5.1722 4.4888
angles (deg): 90.00 90.00 90.00
With the nearest neighbours (Å) after each atom.
Fractional positions:
La (0.0000, 0.0000, 0.0000)  8 Zr 3.42, 4 F 3.66
Zr (0.0000, 0.5000, 0.5000)  2 As 2.59
Zr (0.5000, 0.0000, 0.5000)  2 As 2.59
As (0.5000, 0.5000, 0.5000)  2 F 2.24
F (0.5000, 0.5000, 0.0000)  2 As 2.24

Summary:
* SG: P4/mmm (123)
* DOS at the Fermi energy: 6.00 states/eV per cell
* V: 120.08 Å³ per cell
* ΔE_f (raw): -0.2180 eV/atom
* E: -6.33 eV/atom

13.
Compound: Zn3Cu5
Source: Alexandria via LeMat-Bulk
Functional: PBEsol
Structure: optimized geometry

a b c (Å): 6.9221 6.9221 6.9221
angles (deg): 96.45 96.45 140.83
With the nearest neighbours (Å) after each atom.
Fractional positions:
Zn (0.1705, 0.6705, 0.8410)  10 Cu 2.42-2.64
Zn (0.2500, 0.2500, 0.0000)  2 Zn 2.32, 8 Cu 2.54
Zn (0.3295, 0.1705, 0.5000)  10 Cu 2.42-2.64
Zn (0.6705, 0.8295, 0.5000)  10 Cu 2.42-2.64
Zn (0.7500, 0.7500, 0.0000)  2 Zn 2.32, 8 Cu 2.54
Zn (0.8295, 0.3295, 0.1590)  10 Cu 2.42-2.64
Cu (0.0736, 0.2335, 0.3071)  6 Zn 2.42-2.64, 3 Cu 2.52-2.69
Cu (0.2335, 0.9264, 0.1599)  6 Zn 2.42-2.64, 3 Cu 2.52-2.69
Cu (0.2500, 0.7500, 0.5000)  2 Cu 2.32, 4 Zn 2.51
Cu (0.2665, 0.4264, 0.6929)  6 Zn 2.42-2.64, 3 Cu 2.52-2.69
Cu (0.4264, 0.7335, 0.1599)  6 Zn 2.42-2.64, 3 Cu 2.52-2.69
Cu (0.5736, 0.2665, 0.8401)  6 Zn 2.42-2.64, 3 Cu 2.52-2.69
Cu (0.7335, 0.5736, 0.3071)  6 Zn 2.42-2.64, 3 Cu 2.52-2.69
Cu (0.7500, 0.2500, 0.5000)  2 Cu 2.32, 4 Zn 2.51
Cu (0.7665, 0.0736, 0.8401)  6 Zn 2.42-2.64, 3 Cu 2.52-2.69
Cu (0.9264, 0.7665, 0.6929)  6 Zn 2.42-2.64, 3 Cu 2.52-2.69

Summary:
* SG: I4/mcm (140)
* offset from the most stable computed form: 99 meV/atom
* energy relative to the elements: 13 meV/atom
* DOS at the Fermi energy: 5.16 states/eV per cell
* V: 197.37 Å³ per cell
* E: -3.29 eV/atom

14.
Compound: Mn2BeTe
Source: Alexandria via LeMat-Bulk
Functional: PBEsol
Structure: optimized geometry

a b c (Å): 4.7109 4.7109 4.7109
angles (deg): 134.43 134.43 66.42
With the nearest neighbours (Å) after each atom.
Fractional positions:
Mn (0.0000, 0.0000, 0.0000)  4 Be 2.58, 4 Mn 2.69, 4 Te 2.69
Mn (0.7500, 0.2500, 0.5000)  4 Te 2.58, 4 Mn 2.69, 4 Be 2.69
Be (0.5000, 0.5000, 0.0000)  8 Mn 2.58-2.69, 4 Te 2.69
Te (0.2500, 0.7500, 0.5000)  8 Mn 2.58-2.69, 4 Be 2.69

Summary:
* SG: I-4m2 (119)
* offset from the most stable computed form: 13 meV/atom
* DOS at the Fermi energy: 3.24 states/eV per cell
* V: 52.47 Å³ per cell
* ΔE_f (raw): 0.3301 eV/atom
* E: -6.43 eV/atom

15.
Compound: AlSbSe2
Source: Alexandria via LeMat-Bulk
Functional: PBEsol
Structure: optimized geometry

a b c (Å): 5.0417 5.0417 3.6806
angles (deg): 90.00 90.00 109.90
With the nearest neighbours (Å) after each atom.
Fractional positions:
Al (0.0000, 0.0000, 0.0000)  4 Se 2.61, 2 Sb 2.90
Sb (0.5000, 0.5000, 0.0000)  2 Al 2.90, 4 Se 2.92
Se (0.2247, 0.7753, 0.5000)  2 Al 2.61, 2 Sb 2.92, 2 Se 2.93
Se (0.7753, 0.2247, 0.5000)  2 Al 2.61, 2 Sb 2.92, 2 Se 2.93

Summary:
* SG: Cmmm (65)
* offset from the most stable computed form: 320 meV/atom
* DOS at the Fermi energy: 1.66 states/eV per cell
* V: 87.97 Å³ per cell
* ΔE_f (raw): -0.1825 eV/atom
* E: -4.27 eV/atom

16.
Compound: YOsAu2
Source: Alexandria via LeMat-Bulk
Functional: PBEsol
Structure: optimized geometry

a b c (Å): 3.5632 3.5632 5.7443
angles (deg): 90.00 90.00 90.00
With the nearest neighbours (Å) after each atom.
Fractional positions:
Y (0.0000, 0.0000, 0.0000)  2 Os 2.87, 8 Au 2.95
Os (0.0000, 0.0000, 0.5000)  8 Au 2.85, 2 Y 2.87
Au (0.5000, 0.5000, 0.2667)  1 Au 2.68, 4 Os 2.85, 4 Y 2.95
Au (0.5000, 0.5000, 0.7333)  1 Au 2.68, 4 Os 2.85, 4 Y 2.95

Summary:
* SG: P4/mmm (123)
* energy relative to the elements: 30 meV/atom
* DOS at the Fermi energy: 2.21 states/eV per cell
* V: 72.93 Å³ per cell
* E: -6.69 eV/atom

17.
Compound: BeFePO2
Source: Alexandria via LeMat-Bulk
Functional: PBEsol
Structure: optimized geometry

a b c (Å): 3.1715 3.1715 5.8073
angles (deg): 90.00 90.00 90.00
With the nearest neighbours (Å) after each atom.
Fractional positions:
Be (0.0000, 0.0000, 0.0000)  4 O 1.59
Fe (0.5000, 0.5000, 0.5000)  4 P 2.24
P (0.0000, 0.0000, 0.5000)  4 Fe 2.24
O (0.0000, 0.5000, 0.0000)  2 Be 1.59
O (0.5000, 0.0000, 0.0000)  2 Be 1.59

Summary:
* SG: P4/mmm (123)
* DOS at the Fermi energy: 3.94 states/eV per cell
* V: 58.41 Å³ per cell
* ΔE_f (raw): -0.2456 eV/atom
* E: -6.10 eV/atom

18.
Compound: PPbAuCl2
Source: Alexandria via LeMat-Bulk
Functional: PBEsol
Structure: optimized geometry

a b c (Å): 5.1843 5.1843 5.4238
angles (deg): 90.00 90.00 90.00
With the nearest neighbours (Å) after each atom.
Fractional positions:
P (0.0000, 0.0000, 0.0000)  2 Pb 2.71
Pb (0.0000, 0.0000, 0.5000)  4 Cl 2.59, 2 P 2.71
Au (0.5000, 0.5000, 0.0000)  4 P 3.67, 8 Cl 3.75
Cl (0.0000, 0.5000, 0.5000)  2 Pb 2.59
Cl (0.5000, 0.0000, 0.5000)  2 Pb 2.59

Summary:
* SG: P4/mmm (123)
* DOS at the Fermi energy: 1.19 states/eV per cell
* V: 145.78 Å³ per cell
* ΔE_f (raw): 0.5902 eV/atom
* E: -2.96 eV/atom

19.
Compound: As2HBrF
Source: Alexandria via LeMat-Bulk
Functional: PBEsol
Structure: optimized geometry

a b c (Å): 4.0126 4.0126 4.5554
angles (deg): 90.00 90.00 90.00
With the nearest neighbours (Å) after each atom.
Fractional positions:
As (0.0000, 0.5000, 0.0000)  2 H 2.01
As (0.5000, 0.0000, 0.0000)  2 H 2.01
H (0.0000, 0.0000, 0.0000)  4 As 2.01
Br (0.0000, 0.0000, 0.5000)  2 H 2.28
F (0.5000, 0.5000, 0.5000)  4 Br 2.84, 8 As 3.04

Summary:
* SG: P4/mmm (123)
* DOS at the Fermi energy: 1.83 states/eV per cell
* V: 73.35 Å³ per cell
* E: -3.24 eV/atom

20.
Compound: Pm2MgRu
Source: Alexandria via LeMat-Bulk
Functional: PBEsol
Structure: optimized geometry

a b c (Å): 5.0683 5.0683 5.0683
angles (deg): 60.00 60.00 60.00
With the nearest neighbours (Å) after each atom.
Fractional positions:
Pm (0.2500, 0.2500, 0.2500)  4 Ru 3.10, 4 Mg 3.10
Pm (0.7500, 0.7500, 0.7500)  4 Ru 3.10, 4 Mg 3.10
Mg (0.0000, 0.0000, 0.0000)  8 Pm 3.10
Ru (0.5000, 0.5000, 0.5000)  8 Pm 3.10

Summary:
* SG: Fm-3m (225)
* energy relative to the elements: -46 meV/atom
* DOS at the Fermi energy: 2.95 states/eV per cell
* V: 92.06 Å³ per cell
* E: -5.59 eV/atom